Li3In: relaxed, GGA-PBE.

- energy of formation from the pure elements (meV per atom) = -195
- distance to the lowest polymorph of the same formula (meV per atom) = 42
- mass density (Mg/m³) = 2.94

a b c (Å): 2.9621 4.7676 5.4919
angles (deg): 90.00 99.39 90.00
Space group P2/m (No. 10)
Inequivalent atoms, fractional coordinates:
Li (0.0000, 0.0000, 0.0000) (multiplicity 1)
Li (0.2009, 0.5000, 0.7416) (multiplicity 2)
In (0.5000, 0.0000, 0.5000) (multiplicity 1)



AcLa4In2: relaxed, GGA-PBE.

- energy of formation from the pure elements (meV per atom) = 75
- mass density (Mg/m³) = 6.66

a b c (Å): 6.3032 6.3032 12.6973
angles (deg): 90.00 90.00 90.00
Space group I4/mmm (No. 139)
Inequivalent atoms, fractional coordinates:
Ac (0.0000, 0.0000, 0.0000) (multiplicity 2)
La (0.0000, 0.5000, 0.0000) (multiplicity 4)
La (0.0000, 0.5000, 0.2500) (multiplicity 4)
In (0.0000, 0.0000, 0.3760) (multiplicity 4)



Sm2Co5Ni5: relaxed, GGA-PBE.

- energy of formation from the pure elements (meV per atom) = -173
- distance to the lowest polymorph of the same formula (meV per atom) = 0
- mass density (Mg/m³) = 8.77

a b c (Å): 4.0063 4.8604 8.6407
angles (deg): 90.00 90.00 90.00
Space group Pmmm (No. 47)
Inequivalent atoms, fractional coordinates:
Sm (0.0000, 0.0000, 0.0000) (multiplicity 1)
Sm (0.0000, 0.5000, 0.5000) (multiplicity 1)
Co (0.5000, 0.0000, 0.5000) (multiplicity 1)
Co (0.5000, 0.2516, 0.2536) (multiplicity 4)
Ni (0.0000, 0.0000, 0.3305) (multiplicity 2)
Ni (0.0000, 0.5000, 0.1686) (multiplicity 2)
Ni (0.5000, 0.5000, 0.0000) (multiplicity 1)



Sr2CrFe: relaxed, GGA-PBE.

- energy of formation from the pure elements (meV per atom) = 841
- distance to the lowest polymorph of the same formula (meV per atom) = 286
- mass density (Mg/m³) = 4.01

a b c (Å): 7.9067 7.9418 3.7326
angles (deg): 90.00 90.15 90.00
Space group C2/m (No. 12)
Inequivalent atoms, fractional coordinates:
Sr (0.2500, 0.2500, 0.0000) (multiplicity 4)
Cr (0.0000, 0.0000, 0.5000) (multiplicity 2)
Fe (0.0000, 0.5000, 0.5000) (multiplicity 2)



AgAs2Os: relaxed, GGA-PBE.

- energy of formation from the pure elements (meV per atom) = 275
- distance to the lowest polymorph of the same formula (meV per atom) = 91
- mass density (Mg/m³) = 10.11

a b c (Å): 2.9782 3.9226 12.5994
angles (deg): 90.00 90.00 90.00
Space group Imm2 (No. 44)
Inequivalent atoms, fractional coordinates:
Ag (0.0000, 0.0000, 0.0000) (multiplicity 2)
As (0.0000, 0.0000, 0.6210) (multiplicity 2)
As (0.0000, 0.5000, 0.8393) (multiplicity 2)
Os (0.0000, 0.5000, 0.2793) (multiplicity 2)



Re2TeSe: relaxed, GGA-PBE.

- distance to the lowest polymorph of the same formula (meV per atom) = 475
- mass density (Mg/m³) = 12.52

a b c (Å): 3.1024 4.0127 12.3405
angles (deg): 90.00 90.00 90.00
Space group Imm2 (No. 44)
Inequivalent atoms, fractional coordinates:
Re (0.0000, 0.0000, 0.0000) (multiplicity 2)
Re (0.0000, 0.5000, 0.3248) (multiplicity 2)
Te (0.0000, 0.0000, 0.6080) (multiplicity 2)
Se (0.0000, 0.5000, 0.8509) (multiplicity 2)



| no. | spin magnetization (μB per formula unit) |
| --- | --- |
| 1 | 0.000 |
| 2 | 0.446 |
| 3 | 8.698 |
| 4 | 7.339 |
| 5 | 0.000 |
| 6 | 0.000 |